1.
The following is a PBE calculation of TlCd2IBr after structural relaxation, from Alexandria.

Computed properties:
Fermi-level density of states ... 2.28 states/eV/cell
Formation energy without anion corrections ... -0.01 eV/atom

a = 5.8629 Å, b = 5.8629 Å, c = 5.5972 Å
α = 90.00°, β = 90.00°, γ = 90.00°
Last column: nearest neighbours and their distance in Å.
Sites, in units of the cell vectors:
Tl: 0.0000 0.0000 0.0000  2 Br 2.80, 4 Cd 2.93
Cd: 0.0000 0.5000 0.0000  2 Tl 2.93
Cd: 0.5000 0.0000 0.0000  2 Tl 2.93
I: 0.5000 0.5000 0.5000  8 Cd 4.05, 4 Br 4.15
Br: 0.0000 0.0000 0.5000  2 Tl 2.80

=====

2.
The following is a PBE calculation of Tl2CdI2Br2 after structural relaxation, from Alexandria.

Computed properties:
Fermi-level density of states ... 0.00 states/eV/cell
Formation energy without anion corrections ... -0.70 eV/atom

a = 5.5619 Å, b = 5.5619 Å, c = 17.4488 Å
α = 90.00°, β = 90.00°, γ = 90.00°
Last column: nearest neighbours and their distance in Å.
Sites, in units of the cell vectors:
Tl: 0.0000 0.0000 0.1325  1 I 3.46, 4 Br 3.62
Tl: 0.0000 0.0000 0.8675  1 I 3.46, 4 Br 3.62
Tl: 0.5000 0.5000 0.3675  1 I 3.46, 4 Br 3.62
Tl: 0.5000 0.5000 0.6325  1 I 3.46, 4 Br 3.62
Cd: 0.0000 0.0000 0.5000  4 Br 2.78, 2 I 2.95
Cd: 0.5000 0.5000 0.0000  4 Br 2.78, 2 I 2.95
I: 0.0000 0.0000 0.3311  1 Cd 2.95
I: 0.0000 0.0000 0.6689  1 Cd 2.95
I: 0.5000 0.5000 0.1689  1 Cd 2.95
I: 0.5000 0.5000 0.8311  1 Cd 2.95
Br: 0.0000 0.5000 0.0000  2 Cd 2.78
Br: 0.0000 0.5000 0.5000  2 Cd 2.78
Br: 0.5000 0.0000 0.0000  2 Cd 2.78
Br: 0.5000 0.0000 0.5000  2 Cd 2.78

=====

3.
The following is a PBE calculation of CdInBr2 after structural relaxation, from Alexandria.

Computed properties:
Fermi-level density of states ... 4.92 states/eV/cell
Energy above the lowest structure with this stoichiometry ... 0.122 eV per atom
Formation energy without anion corrections ... -0.43 eV/atom

a = 8.0616 Å, b = 4.8028 Å, c = 7.3831 Å
α = 90.00°, β = 112.62°, γ = 90.00°
Last column: nearest neighbours and their distance in Å.
Sites, in units of the cell vectors:
Cd: 0.0000 0.0000 0.0000  6 Br 3.14
Cd: 0.5000 0.5000 0.0000  6 Br 3.14
In: 0.0000 0.5000 0.5000  6 Br 3.29-3.30
In: 0.5000 0.0000 0.5000  6 Br 3.29-3.30
Br: 0.2419 0.5000 0.2279  3 Cd 3.14, 3 In 3.29-3.30
Br: 0.2581 0.0000 0.7721  3 Cd 3.14, 3 In 3.29-3.30
Br: 0.7419 0.0000 0.2279  3 Cd 3.14, 3 In 3.29-3.30
Br: 0.7581 0.5000 0.7721  3 Cd 3.14, 3 In 3.29-3.30

=====

The evaluated calculated volume for the records listed, in turn: 192; 540; 264 Å³/cell.